(1)
Tm2Be2GeO7 | SCAN | single point on PBEsol structure

Values from the calculation:
Uncorrected formation energy   -3170 meV per atom

Cell: 7.295 7.295 4.731 Å, 90.00 90.00 90.00°
Space group P-42_1m (No. 113)
Asymmetric unit:
Tm (0.157, 0.343, 0.493) [4 per cell]
Be (0.137, 0.637, 0.949) [4 per cell]
Ge (0.000, 0.000, 0.000) [2 per cell]
O (0.000, 0.500, 0.807) [2 per cell]
O (0.083, 0.829, 0.776) [8 per cell]
O (0.142, 0.642, 0.284) [4 per cell]

***

(2)
TaAlGa2Ge | SCAN | single point on PBEsol structure

Values from the calculation:
ΔH_f (0 K)   1.07 eV per atom

Cell: 4.570 4.570 5.008 Å, 90.00 90.00 90.00°
Space group P4/mmm (No. 123)
Asymmetric unit:
Ta (0.000, 0.000, 0.000) [1 per cell]
Al (0.000, 0.000, 0.500) [1 per cell]
Ga (0.000, 0.500, 0.500) [2 per cell]
Ge (0.500, 0.500, 0.000) [1 per cell]

***

(3)
RbAlH2 | SCAN | single point on PBEsol structure

Values from the calculation:
VASP energy   -9.109 eV per atom

Cell: 5.554 12.256 4.730 Å, 90.00 90.00 90.00°
Space group Cmcm (No. 63)
Asymmetric unit:
Rb (0.000, 0.150, 0.250) [4 per cell]
Al (0.000, 0.450, 0.250) [4 per cell]
H (0.230, 0.360, 0.250) [8 per cell]

***

(4)
MgFeRu | SCAN | single point on PBEsol structure

Values from the calculation:
ΔH_f (0 K)   0.11 eV per atom

Cell: 4.2582 4.2582 2.6551 Å, 90.00 90.00 120.00°
Space group P3m1 (No. 156)
Asymmetric unit:
Mg (0.0000, 0.0000, 0.0000) [1 per cell]
Fe (0.3333, 0.6667, 0.6357) [1 per cell]
Ru (0.6667, 0.3333, 0.4051) [1 per cell]

***

(5)
TlTcAs2 | SCAN | single point on PBEsol structure

Values from the calculation:
ΔH_f (0 K)   0.22 eV per atom
Offset from the most stable computed form   218 meV per atom

Cell: 3.214 3.214 7.417 Å, 90.00 90.00 90.00°
Space group P4mm (No. 99)
Asymmetric unit:
Tl (0.000, 0.000, 0.000) [1 per cell]
Tc (0.500, 0.500, 0.706) [1 per cell]
As (0.000, 0.000, 0.569) [1 per cell]
As (0.500, 0.500, 0.348) [1 per cell]

***

(6)
Mn10CuGe5 | SCAN | single point on PBEsol structure

Values from the calculation:
ΔH_f (0 K)   -0.19 eV per atom

Cell: 9.143 9.143 4.535 Å, 90.00 90.00 90.00°
Space group I422 (No. 97)
Asymmetric unit:
Mn (0.000, 0.500, 0.000) [4 per cell]
Mn (0.076, 0.232, 0.251) [16 per cell]
Cu (0.000, 0.000, 0.000) [2 per cell]
Ge (0.000, 0.000, 0.500) [2 per cell]
Ge (0.168, 0.332, 0.750) [8 per cell]

***

(7)
TlReC3 | SCAN | single point on PBEsol structure

Values from the calculation:
ΔH_f (0 K)   1.76 eV per atom

Cell: 4.089 4.089 4.089 Å, 90.00 90.00 90.00°
Space group Pm-3m (No. 221)
Asymmetric unit:
Tl (0.000, 0.000, 0.000) [1 per cell]
Re (0.500, 0.500, 0.500) [1 per cell]
C (0.000, 0.500, 0.500) [3 per cell]

***

(8)
FeRuSe2 | SCAN | single point on PBEsol structure

Values from the calculation:
Uncorrected formation energy   204 meV per atom
Offset from the most stable computed form   400 meV per atom

Cell: 6.115 6.115 6.115 Å, 90.00 90.00 90.00°
Space group Fm-3m (No. 225)
Asymmetric unit:
Fe (0.000, 0.000, 0.000) [4 per cell]
Ru (0.000, 0.000, 0.500) [4 per cell]
Se (0.250, 0.250, 0.250) [8 per cell]

***

(9)
La2SiNi | SCAN | single point on PBEsol structure

Values from the calculation:
Uncorrected formation energy   -493 meV per atom

Cell: 3.677 4.539 10.429 Å, 90.00 90.00 90.00°
Space group Imm2 (No. 44)
Asymmetric unit:
La (0.000, 0.000, 0.000) [2 per cell]
La (0.000, 0.500, 0.207) [2 per cell]
Si (0.000, 0.000, 0.408) [2 per cell]
Ni (0.000, 0.500, 0.770) [2 per cell]

***

(10)
Li2ZnSi | SCAN | single point on PBEsol structure

Values from the calculation:
Uncorrected formation energy   -138 meV per atom

Cell: 2.632 4.069 5.190 Å, 90.00 90.00 90.00°
Space group Pmmm (No. 47)
Asymmetric unit:
Li (0.000, 0.000, 0.239) [2 per cell]
Zn (0.500, 0.500, 0.500) [1 per cell]
Si (0.500, 0.500, 0.000) [1 per cell]

***

(11)
HfCuBr2O | SCAN | single point on PBEsol structure

Values from the calculation:
Uncorrected formation energy   -1034 meV per atom

Cell: 5.270 5.270 3.897 Å, 90.00 90.00 90.00°
Space group P4/mmm (No. 123)
Asymmetric unit:
Hf (0.000, 0.000, 0.000) [1 per cell]
Cu (0.500, 0.500, 0.500) [1 per cell]
Br (0.000, 0.500, 0.000) [2 per cell]
O (0.000, 0.000, 0.500) [1 per cell]

***

(12)
LiCaSb2 | SCAN | single point on PBEsol structure

Values from the calculation:
Uncorrected formation energy   -507 meV per atom
Offset from the most stable computed form   182 meV per atom

Cell: 3.6067 3.6067 26.8837 Å, 90.00 90.00 120.00°
Space group R-3m (No. 166, hexagonal axes)
Asymmetric unit:
Li (0.0000, 0.0000, 0.0000) [3 per cell]
Ca (0.0000, 0.0000, 0.5000) [3 per cell]
Sb (0.0000, 0.0000, 0.2560) [6 per cell]

***

(13)
InGa2Hg2 | SCAN | single point on PBEsol structure

Values from the calculation:
ΔH_f (0 K)   0.14 eV per atom
Offset from the most stable computed form   23 meV per atom

Cell: 8.291 8.291 3.198 Å, 90.00 90.00 90.00°
Space group P4/mbm (No. 127)
Asymmetric unit:
In (0.000, 0.000, 0.000) [2 per cell]
Ga (0.133, 0.367, 0.500) [4 per cell]
Hg (0.165, 0.665, 0.000) [4 per cell]

***

(14)
Li2PPt | SCAN | single point on PBEsol structure

Values from the calculation:
ΔH_f (0 K)   -0.65 eV per atom

Cell: 4.853 7.794 2.730 Å, 90.00 90.00 90.00°
Space group Cmmm (No. 65)
Asymmetric unit:
Li (0.250, 0.250, 0.000) [4 per cell]
P (0.000, 0.000, 0.500) [2 per cell]
Pt (0.000, 0.500, 0.500) [2 per cell]

***

(15)
CuAu | SCAN | single point on PBEsol structure

Values from the calculation:
ΔH_f (0 K)   -0.07 eV per atom

Cell: 3.744 3.825 7.978 Å, 90.00 90.00 90.00°
Space group Imma (No. 74)
Asymmetric unit:
Cu (0.000, 0.250, 0.127) [4 per cell]
Au (0.000, 0.250, 0.624) [4 per cell]

***

(16)
ScPb | SCAN | single point on PBEsol structure

Values from the calculation:
ΔH_f (0 K)   -0.62 eV per atom

Cell: 4.250 4.250 10.330 Å, 90.00 90.00 90.00°
Space group I4_1/amd (No. 141, origin choice 2)
Asymmetric unit:
Sc (0.000, 0.250, 0.375) [4 per cell]
Pb (0.000, 0.250, 0.875) [4 per cell]

***

(17)
IrAuSe2N | SCAN | single point on PBEsol structure

Values from the calculation:
Uncorrected formation energy   1669 meV per atom

Cell: 5.077 5.077 3.587 Å, 90.00 90.00 90.00°
Space group P4/mmm (No. 123)
Asymmetric unit:
Ir (0.000, 0.000, 0.000) [1 per cell]
Au (0.500, 0.500, 0.500) [1 per cell]
Se (0.000, 0.500, 0.500) [2 per cell]
N (0.500, 0.500, 0.000) [1 per cell]

***

(18)
YZr3 | SCAN | single point on PBEsol structure

Values from the calculation:
ΔH_f (0 K)   0.12 eV per atom
Offset from the most stable computed form   45 meV per atom

Cell: 3.177 3.177 9.503 Å, 90.00 90.00 90.00°
Space group P4/mmm (No. 123)
Asymmetric unit:
Y (0.000, 0.000, 0.000) [1 per cell]
Zr (0.000, 0.000, 0.500) [1 per cell]
Zr (0.500, 0.500, 0.270) [2 per cell]

***

(19)
CrIn2As | SCAN | single point on PBEsol structure

Values from the calculation:
ΔH_f (0 K)   0.04 eV per atom

Cell: 3.684 4.122 10.552 Å, 90.00 90.00 90.00°
Space group Amm2 (No. 38)
Asymmetric unit:
Cr (0.000, 0.000, 0.000) [2 per cell]
In (0.000, 0.000, 0.734) [2 per cell]
In (0.500, 0.000, 0.425) [2 per cell]
As (0.500, 0.000, 0.149) [2 per cell]

***

(20)
Sm5Mg | SCAN | single point on PBEsol structure

Values from the calculation:
ΔH_f (0 K)   -0.02 eV per atom
Offset from the most stable computed form   0 meV per atom

Cell: 6.1385 6.1385 16.6336 Å, 90.00 90.00 120.00°
Space group R32 (No. 155, hexagonal axes)
Asymmetric unit:
Sm (0.0000, 0.0000, 0.1597) [6 per cell]
Sm (0.0000, 0.6349, 0.0000) [9 per cell]
Mg (0.0000, 0.0000, 0.5000) [3 per cell]

***

(21)
Na2YReIr | SCAN | single point on PBEsol structure

Values from the calculation:
ΔH_f (0 K)   2.06 eV per atom

Cell: 5.038 5.038 4.805 Å, 90.00 90.00 90.00°
Space group P4/mmm (No. 123)
Asymmetric unit:
Na (0.000, 0.500, 0.000) [2 per cell]
Y (0.000, 0.000, 0.000) [1 per cell]
Re (0.500, 0.500, 0.500) [1 per cell]
Ir (0.000, 0.000, 0.500) [1 per cell]

***

(22)
Rb3LiPb | SCAN | single point on PBEsol structure

Values from the calculation:
ΔH_f (0 K)   0.35 eV per atom

Cell: 6.641 6.641 6.641 Å, 90.00 90.00 90.00°
Space group Pm-3m (No. 221)
Asymmetric unit:
Rb (0.000, 0.000, 0.500) [3 per cell]
Li (0.000, 0.000, 0.000) [1 per cell]
Pb (0.500, 0.500, 0.500) [1 per cell]

***

(23)
InOs2Cl | SCAN | single point on PBEsol structure

Values from the calculation:
Uncorrected formation energy   893 meV per atom
Offset from the most stable computed form   0 meV per atom

Cell: 2.783 4.224 12.069 Å, 90.00 90.00 90.00°
Space group Imm2 (No. 44)
Asymmetric unit:
In (0.000, 0.000, 0.000) [2 per cell]
Os (0.000, 0.000, 0.401) [2 per cell]
Os (0.000, 0.500, 0.726) [2 per cell]
Cl (0.000, 0.500, 0.202) [2 per cell]

***

(24)
Be3Co | SCAN | single point on PBEsol structure

Values from the calculation:
ΔH_f (0 K)   -0.22 eV per atom

Cell: 3.174 3.174 12.930 Å, 90.00 90.00 90.00°
Space group I4/mmm (No. 139)
Asymmetric unit:
Be (0.000, 0.000, 0.129) [4 per cell]
Be (0.000, 0.500, 0.000) [4 per cell]
Be (0.000, 0.500, 0.250) [4 per cell]
Co (0.000, 0.000, 0.379) [4 per cell]

***

(25)
KH2I3O9 | SCAN | single point on PBEsol structure

Values from the calculation:
VASP energy   -12.820 eV per atom

Cell: 8.043 8.051 8.065 Å, 71.43 66.65 60.35°
Space group P1 (No. 1)
Asymmetric unit:
K (0.000, 0.000, 0.000) [1 per cell]
K (0.479, 0.532, 0.562) [1 per cell]
H (0.207, 0.288, 0.795) [1 per cell]
H (0.606, 0.633, 0.790) [1 per cell]
H (0.757, 0.241, 0.294) [1 per cell]
H (0.875, 0.901, 0.769) [1 per cell]
I (0.008, 0.507, 0.032) [1 per cell]
I (0.010, 0.567, 0.487) [1 per cell]
I (0.013, 0.070, 0.469) [1 per cell]
I (0.463, 0.972, 0.072) [1 per cell]
I (0.465, 0.035, 0.541) [1 per cell]
I (0.484, 0.460, 0.094) [1 per cell]
O (0.055, 0.389, 0.833) [1 per cell]
O (0.089, 0.736, 0.508) [1 per cell]
O (0.200, 0.160, 0.140) [1 per cell]
O (0.228, 0.007, 0.636) [1 per cell]
O (0.240, 0.536, 0.926) [1 per cell]
O (0.272, 0.381, 0.417) [1 per cell]
O (0.386, 0.803, 0.046) [1 per cell]
O (0.416, 0.149, 0.732) [1 per cell]
O (0.483, 0.871, 0.304) [1 per cell]
O (0.577, 0.201, 0.097) [1 per cell]
O (0.633, 0.788, 0.618) [1 per cell]
O (0.635, 0.490, 0.845) [1 per cell]
O (0.671, 0.429, 0.194) [1 per cell]
O (0.818, 0.098, 0.366) [1 per cell]
O (0.840, 0.746, 0.943) [1 per cell]
O (0.850, 0.042, 0.713) [1 per cell]
O (0.907, 0.329, 0.463) [1 per cell]
O (0.982, 0.669, 0.256) [1 per cell]

***

(26)
Tl2CoBr | SCAN | single point on PBEsol structure

Values from the calculation:
Uncorrected formation energy   274 meV per atom
Offset from the most stable computed form   208 meV per atom

Cell: 4.415 4.415 9.645 Å, 90.00 90.00 90.00°
Space group I4/mmm (No. 139)
Asymmetric unit:
Tl (0.000, 0.500, 0.250) [4 per cell]
Co (0.000, 0.000, 0.000) [2 per cell]
Br (0.000, 0.000, 0.500) [2 per cell]